The following is a PBE+U calculation of a relaxed Li3V2P4H2O16 crystal, from Alexandria via LeMat-Bulk.

Electronic total energy in eV/cell: -371.0
Space-group type: No. 7
Energy relative to the lowest polymorph listed for this composition in kcal/mol of atoms: 0.008
M_tot in μB per formula unit: 3.00

a b c (Å): 7.9051 8.0688 9.9545
angles (deg): 90.00 114.92 90.00
Sites, in units of the cell vectors:
1 Li 0.0000 0.1040 0.0000
2 Li 0.0000 0.8960 0.5000
3 Li 0.5062 0.1256 0.5047
4 Li 0.5062 0.8744 0.0047
5 Li 0.7557 0.3748 0.4519
6 Li 0.7557 0.6252 0.9519
7 V 0.1327 0.2576 0.4755
8 V 0.1327 0.7424 0.9755
9 V 0.6233 0.2524 0.9781
10 V 0.6233 0.7476 0.4781
11 P 0.0681 0.3962 0.1541
12 P 0.0681 0.6038 0.6541
13 P 0.1906 0.1011 0.7990
14 P 0.1906 0.8989 0.2990
15 P 0.5860 0.4070 0.6645
16 P 0.5860 0.5930 0.1645
17 P 0.6774 0.0959 0.2942
18 P 0.6774 0.9041 0.7942
19 H 0.3459 0.2580 0.2115
20 H 0.3459 0.7420 0.7115
21 H 0.9088 0.2444 0.7405
22 H 0.9088 0.7556 0.2405
23 O 0.0291 0.1871 0.8239
24 O 0.0291 0.8129 0.3239
25 O 0.0318 0.4395 0.5707
26 O 0.0318 0.5605 0.0707
27 O 0.1148 0.4173 0.3183
28 O 0.1148 0.5827 0.8183
29 O 0.1392 0.0831 0.6324
30 O 0.1392 0.9169 0.1324
31 O 0.2188 0.2924 0.1275
32 O 0.2188 0.7076 0.6275
33 O 0.2301 0.0628 0.3840
34 O 0.2301 0.9372 0.8840
35 O 0.3701 0.2110 0.8677
36 O 0.3701 0.7890 0.3677
37 O 0.4023 0.3101 0.5851
38 O 0.4023 0.6899 0.0851
39 O 0.5303 0.1951 0.3230
40 O 0.5303 0.8049 0.8230
41 O 0.5747 0.4166 0.0998
42 O 0.5747 0.5834 0.5998
43 O 0.6284 0.4253 0.8324
44 O 0.6284 0.5747 0.3324
45 O 0.6287 0.0753 0.1252
46 O 0.6287 0.9247 0.6252
47 O 0.7020 0.0784 0.8670
48 O 0.7020 0.9216 0.3670
49 O 0.7359 0.3078 0.6381
50 O 0.7359 0.6922 0.1381
51 O 0.8638 0.1910 0.3697
52 O 0.8638 0.8090 0.8697
53 O 0.8891 0.2835 0.0798
54 O 0.8891 0.7165 0.5798